Entry 1:
Here is an optimized crystal structure of GdErTlCo2 from OQMD via LeMat-Bulk. Energies are from PBE.

## Properties
VASP energy	-0.40039	Ry/atom

a = 3.856 Å, b = 7.302 Å, c = 7.302 Å
α = 30.40°, β = 90.00°, γ = 90.00°
Fractional positions:
Co 0.000 0.208 0.208
Co 0.000 0.795 0.795
Er 0.500 0.359 0.359
Gd 0.500 0.639 0.639
Tl 0.000 0.998 0.998

=====

Entry 2:
Here is an optimized crystal structure of GdErZnCo2 from OQMD via LeMat-Bulk. Energies are from PBE.

## Properties
ΔH_f (0 K)	-0.2966	eV/atom

a = 5.320 Å, b = 5.320 Å, c = 5.320 Å
α = 134.93°, β = 118.30°, γ = 79.61°
Fractional positions:
Co 0.789 0.501 0.288
Co 0.213 0.501 0.712
Er 0.207 0.207 0.000
Gd 0.792 0.792 0.000
Zn 0.499 0.999 0.500

=====

Entry 3:
Here is an optimized crystal structure of Er4Co7Ge6 from OQMD via LeMat-Bulk. Energies are from PBE.

## Properties
VASP energy	-0.45584	Ry/atom

a = 7.000 Å, b = 7.000 Å, c = 7.000 Å
α = 109.47°, β = 109.47°, γ = 109.47°
Fractional positions:
Co 0.000 0.000 0.000
Co 0.750 0.500 0.250
Co 0.500 0.750 0.250
Co 0.750 0.250 0.500
Co 0.250 0.750 0.500
Co 0.500 0.250 0.750
Co 0.250 0.500 0.750
Er 0.500 0.000 0.000
Er 0.000 0.500 0.000
Er 0.000 0.000 0.500
Er 0.500 0.500 0.500
Ge 0.325 0.325 0.000
Ge 0.675 0.675 0.000
Ge 0.325 0.000 0.325
Ge 0.000 0.325 0.325
Ge 0.675 0.000 0.675
Ge 0.000 0.675 0.675

=====

Entry 4:
Here is an optimized crystal structure of Er2CoGe2 from OQMD via LeMat-Bulk. Energies are from PBE.

## Properties
VASP energy	-0.43010	Ry/atom

a = 4.174 Å, b = 5.577 Å, c = 9.194 Å
α = 92.17°, β = 103.12°, γ = 68.02°
Fractional positions:
Co 0.628 0.095 0.352
Co 0.372 0.905 0.648
Er 0.927 0.260 0.113
Er 0.327 0.679 0.333
Er 0.673 0.321 0.667
Er 0.073 0.740 0.887
Ge 0.639 0.845 0.124
Ge 0.089 0.257 0.435
Ge 0.911 0.743 0.565
Ge 0.361 0.155 0.876

=====

Number 1 is which compound?
GdErTlCo2